(1)
A plane-wave DFT calculation with PBE was carried out for NaNiAs2Pd after structural relaxation.

Output
calculated volume: 91 Å³ per cell
symmetry: No. 119
DFT formation energy: -0.366 eV/atom
DFT total energy: -23.42 eV/cell

Cell: 4.231 4.231 5.909 Å, 110.98 110.98 90.00°
Element x y z (fractional)
1 Na 0.000 0.000 0.000
2 Ni 0.750 0.250 0.500
3 As 0.628 0.628 0.256
4 As 0.372 0.372 0.744
5 Pd 0.250 0.750 0.500

(2)
A plane-wave DFT calculation with PBE was carried out for Na2NiAs2Pt after structural relaxation.

Output
calculated volume: 232 Å³ per cell
symmetry: No. 72
DFT formation energy: -0.382 eV/atom
DFT total energy: -52.11 eV/cell

Cell: 5.900 5.649 8.083 Å, 110.45 111.40 90.00°
Element x y z (fractional)
1 Na 0.402 0.173 0.346
2 Na 0.598 0.827 0.654
3 Na 0.055 0.327 0.654
4 Na 0.945 0.673 0.346
5 Ni 0.500 0.750 0.000
6 Ni 0.500 0.250 0.000
7 As 0.821 0.101 0.202
8 As 0.381 0.601 0.202
9 As 0.619 0.399 0.798
10 As 0.179 0.899 0.798
11 Pt 0.000 0.750 0.000
12 Pt 0.000 0.250 0.000

(3)
A plane-wave DFT calculation with PBE was carried out for NaNi2AsPt after structural relaxation.

Output
calculated volume: 108 Å³ per cell
symmetry: No. 123
DFT formation energy: 0.519 eV/atom
DFT total energy: -20.98 eV/cell

Cell: 4.823 4.823 4.642 Å, 90.00 90.00 90.00°
Element x y z (fractional)
1 Ni 0.000 0.500 0.000
2 Ni 0.500 0.000 0.000
3 As 0.000 0.000 0.500
4 Pt 0.000 0.000 0.000
5 Na 0.500 0.500 0.500

(4)
A plane-wave DFT calculation with PBE was carried out for Rb2NaNiAs after structural relaxation.

Output
calculated volume: 204 Å³ per cell
symmetry: No. 123
DFT formation energy: 0.592 eV/atom
DFT total energy: -10.72 eV/cell

Cell: 6.171 5.358 6.171 Å, 90.00 90.00 90.00°
Element x y z (fractional)
1 Ni 0.000 0.000 0.000
2 As 0.500 0.500 0.500
3 Rb 0.000 0.000 0.500
4 Rb 0.500 0.000 0.000
5 Na 0.000 0.500 0.000

(5)
A plane-wave DFT calculation with PBE was carried out for NaNiAs2Rh after structural relaxation.

Output
calculated volume: 88 Å³ per cell
symmetry: No. 119
DFT formation energy: -0.409 eV/atom
DFT total energy: -25.80 eV/cell

Cell: 4.091 4.091 6.022 Å, 109.86 109.86 90.00°
Element x y z (fractional)
1 Na 0.000 0.000 0.000
2 Ni 0.250 0.750 0.500
3 As 0.627 0.627 0.254
4 As 0.373 0.373 0.746
5 Rh 0.750 0.250 0.500

(6)
A plane-wave DFT calculation with PBE was carried out for NaNiAs2Ru after structural relaxation.

Output
calculated volume: 94 Å³ per cell
symmetry: No. 119
DFT formation energy: -0.375 eV/atom
DFT total energy: -27.55 eV/cell

Cell: 3.879 3.879 6.805 Å, 106.56 106.56 90.00°
Element x y z (fractional)
1 Na 0.000 0.000 0.000
2 Ni 0.750 0.250 0.500
3 As 0.636 0.636 0.271
4 As 0.364 0.364 0.729
5 Ru 0.250 0.750 0.500

(7)
A plane-wave DFT calculation with PBE was carried out for Na2NiAsS4 after structural relaxation.

Output
calculated volume: 395 Å³ per cell
E_form (uncorrected): -0.4015 eV per atom
symmetry: No. 70
DFT total energy: -65.58 eV/cell

Cell: 6.534 7.813 9.120 Å, 81.38 69.01 65.28°
Element x y z (fractional)
1 Na 0.169 0.000 0.662
2 Na 0.831 0.000 0.338
3 Na 0.581 0.500 0.838
4 Na 0.919 0.500 0.162
5 Ni 0.750 0.500 0.500
6 Ni 0.000 0.000 0.000
7 As 0.250 0.500 0.500
8 As 0.500 0.000 0.000
9 S 0.301 0.791 0.064
10 S 0.155 0.209 0.936
11 S 0.908 0.791 0.936
12 S 0.635 0.209 0.064
13 S 0.449 0.709 0.436
14 S 0.595 0.291 0.564
15 S 0.842 0.709 0.564
16 S 0.115 0.291 0.436

(8)
A plane-wave DFT calculation with PBE was carried out for NaNiAsSe2 after structural relaxation.

Output
calculated volume: 111 Å³ per cell
E_form (uncorrected): -0.0812 eV per atom
symmetry: No. 123
energy above the most stable polymorph in this dataset: 0 meV per atom
DFT total energy: -19.12 eV/cell

Cell: 5.044 5.044 4.379 Å, 90.00 90.00 90.00°
Element x y z (fractional)
1 Ni 0.000 0.000 0.000
2 As 0.000 0.000 0.500
3 Se 0.000 0.500 0.000
4 Se 0.500 0.000 0.000
5 Na 0.500 0.500 0.500

(9)
A plane-wave DFT calculation with PBE was carried out for NaNiAsSe2 after structural relaxation.

Output
calculated volume: 125 Å³ per cell
E_form (uncorrected): 1.2011 eV per atom
symmetry: No. 123
energy above the most stable polymorph in this dataset: 1282 meV per atom
DFT total energy: -12.71 eV/cell

Cell: 5.038 5.038 4.921 Å, 90.00 90.00 90.00°
Element x y z (fractional)
1 Ni 0.500 0.500 0.500
2 As 0.000 0.000 0.500
3 Se 0.000 0.500 0.000
4 Se 0.500 0.000 0.000
5 Na 0.000 0.000 0.000

(10)
A plane-wave DFT calculation with PBE was carried out for NaTaNiAs2 after structural relaxation.

Output
calculated volume: 120 Å³ per cell
symmetry: No. 123
DFT formation energy: 0.306 eV/atom
DFT total energy: -26.72 eV/cell

Cell: 4.992 4.817 4.992 Å, 90.00 90.00 90.00°
Element x y z (fractional)
1 Ni 0.000 0.500 0.000
2 As 0.000 0.000 0.500
3 As 0.500 0.000 0.000
4 Na 0.500 0.500 0.500
5 Ta 0.000 0.000 0.000

(11)
A plane-wave DFT calculation with PBE was carried out for NaTcNiAs2 after structural relaxation.

Output
calculated volume: 96 Å³ per cell
symmetry: No. 119
DFT formation energy: -0.351 eV/atom
DFT total energy: -28.52 eV/cell

Cell: 3.928 3.928 6.795 Å, 106.80 106.80 90.00°
Element x y z (fractional)
1 Na 0.000 0.000 0.000
2 Tc 0.750 0.250 0.500
3 Ni 0.250 0.750 0.500
4 As 0.637 0.637 0.273
5 As 0.363 0.363 0.727

(12)
A plane-wave DFT calculation with PBE was carried out for NaZnNiAs2 after structural relaxation.

Output
calculated volume: 92 Å³ per cell
symmetry: No. 119
DFT formation energy: -0.247 eV/atom
DFT total energy: -18.91 eV/cell

Cell: 4.113 4.113 6.145 Å, 109.55 109.55 90.00°
Element x y z (fractional)
1 Na 0.000 0.000 0.000
2 Zn 0.750 0.250 0.500
3 Ni 0.250 0.750 0.500
4 As 0.624 0.624 0.247
5 As 0.376 0.376 0.753

(13)
A plane-wave DFT calculation with PBE was carried out for Na2ZnNi3As4 after structural relaxation.

Output
calculated volume: 172 Å³ per cell
symmetry: No. 115
DFT formation energy: -0.295 eV/atom
DFT total energy: -42.80 eV/cell

Cell: 4.137 4.137 10.020 Å, 90.00 90.00 90.00°
Element x y z (fractional)
1 Na 0.500 0.000 0.251
2 Na 0.000 0.500 0.749
3 Zn 0.500 0.500 0.500
4 Ni 0.000 0.000 0.500
5 Ni 0.500 0.000 0.879
6 Ni 0.000 0.500 0.121
7 As 0.500 0.500 0.000
8 As 0.000 0.000 0.000
9 As 0.500 0.000 0.644
10 As 0.000 0.500 0.356

(14)
A plane-wave DFT calculation with PBE was carried out for Na2ZnNiAs2 after structural relaxation.

Output
calculated volume: 233 Å³ per cell
symmetry: No. 72
DFT formation energy: -0.358 eV/atom
DFT total energy: -42.28 eV/cell

Cell: 5.644 5.797 8.188 Å, 110.73 110.16 90.00°
Element x y z (fractional)
1 Na 0.410 0.176 0.352
2 Na 0.590 0.824 0.648
3 Na 0.058 0.324 0.648
4 Na 0.942 0.676 0.352
5 Zn 0.000 0.750 0.000
6 Zn 0.000 0.250 0.000
7 Ni 0.500 0.750 0.000
8 Ni 0.500 0.250 0.000
9 As 0.826 0.103 0.207
10 As 0.381 0.603 0.207
11 As 0.619 0.397 0.793
12 As 0.174 0.897 0.793

(15)
A plane-wave DFT calculation with PBE was carried out for NaZnNiAs after structural relaxation.

Output
calculated volume: 158 Å³ per cell
symmetry: No. 129
DFT formation energy: -0.180 eV/atom
DFT total energy: -27.49 eV/cell

Cell: 3.846 3.846 10.709 Å, 90.00 90.00 90.00°
Element x y z (fractional)
1 Na 0.750 0.750 0.251
2 Na 0.250 0.250 0.749
3 Zn 0.250 0.750 0.500
4 Zn 0.750 0.250 0.500
5 Ni 0.750 0.250 0.000
6 Ni 0.250 0.750 0.000
7 As 0.750 0.750 0.874
8 As 0.250 0.250 0.126

(16)
A plane-wave DFT calculation with PBE was carried out for NaNpAsO6 after structural relaxation.

Output
calculated volume: 250 Å³ per cell
E_form (uncorrected): -1.9047 eV per atom
symmetry: No. 163
DFT total energy: -131.60 eV/cell

Cell: 5.285 5.285 10.332 Å, 90.00 90.00 120.00°
Element x y z (fractional)
1 Na 0.000 0.000 0.000
2 Na 0.000 0.000 0.500
3 Np 0.667 0.333 0.250
4 Np 0.333 0.667 0.750
5 As 0.333 0.667 0.250
6 As 0.667 0.333 0.750
7 O 0.617 0.649 0.148
8 O 0.032 0.383 0.148
9 O 0.383 0.032 0.648
10 O 0.968 0.617 0.852
11 O 0.351 0.383 0.352
12 O 0.032 0.649 0.352
13 O 0.649 0.032 0.852
14 O 0.617 0.968 0.352
15 O 0.968 0.351 0.648
16 O 0.351 0.968 0.148
17 O 0.649 0.617 0.648
18 O 0.383 0.351 0.852

(17)
A plane-wave DFT calculation with PBE was carried out for NaNpAs2O8 after structural relaxation.

Output
calculated volume: 160 Å³ per cell
E_form (uncorrected): -1.7268 eV per atom
symmetry: No. 119
DFT total energy: -83.95 eV/cell

Cell: 5.946 5.946 5.946 Å, 106.36 106.36 115.88°
Element x y z (fractional)
1 Na 0.000 0.000 0.000
2 Np 0.250 0.750 0.500
3 As 0.750 0.250 0.500
4 As 0.500 0.500 0.000
5 O 0.387 0.066 0.321
6 O 0.336 0.530 0.194
7 O 0.336 0.143 0.806
8 O 0.745 0.066 0.679
9 O 0.857 0.664 0.194
10 O 0.934 0.255 0.321
11 O 0.934 0.613 0.679
12 O 0.470 0.664 0.806

(18)
A plane-wave DFT calculation with PBE was carried out for Na2NpAs4Pd3 after structural relaxation.

Output
calculated volume: 215 Å³ per cell
symmetry: No. 115
DFT formation energy: -0.339 eV/atom
DFT total energy: -53.14 eV/cell

Cell: 4.356 4.356 11.314 Å, 90.00 90.00 90.00°
Element x y z (fractional)
1 Na 0.500 0.000 0.232
2 Na 0.000 0.500 0.768
3 Np 0.500 0.500 0.500
4 As 0.500 0.500 0.000
5 As 0.000 0.000 0.000
6 As 0.500 0.000 0.657
7 As 0.000 0.500 0.343
8 Pd 0.000 0.000 0.500
9 Pd 0.500 0.000 0.882
10 Pd 0.000 0.500 0.118

(19)
A plane-wave DFT calculation with PBE was carried out for NaNpAs2Pd2 after structural relaxation.

Output
calculated volume: 126 Å³ per cell
symmetry: No. 164
DFT formation energy: -0.527 eV/atom
DFT total energy: -37.11 eV/cell

Cell: 4.254 4.254 8.045 Å, 90.00 90.00 120.00°
Element x y z (fractional)
1 Na 0.000 0.000 0.500
2 Np 0.000 0.000 0.000
3 As 0.333 0.667 0.218
4 As 0.667 0.333 0.782
5 Pd 0.333 0.667 0.747
6 Pd 0.667 0.333 0.253

(20)
A plane-wave DFT calculation with PBE was carried out for Na2NpAs3Pd4 after structural relaxation.

Output
calculated volume: 205 Å³ per cell
symmetry: No. 115
DFT formation energy: -0.383 eV/atom
DFT total energy: -54.12 eV/cell

Cell: 4.227 4.227 11.454 Å, 90.00 90.00 90.00°
Element x y z (fractional)
1 Na 0.500 0.000 0.220
2 Na 0.000 0.500 0.780
3 Np 0.500 0.500 0.500
4 As 0.000 0.000 0.500
5 As 0.500 0.000 0.875
6 As 0.000 0.500 0.125
7 Pd 0.500 0.500 0.000
8 Pd 0.000 0.000 0.000
9 Pd 0.500 0.000 0.662
10 Pd 0.000 0.500 0.338